1.
This record from Alexandria via LeMat-Bulk describes crystalline Ta3TiB at its relaxed geometry. The functional is PBE.

The formation energy is 0.0 kcal/mol of atoms. Its density of states at the Fermi level is 0.83 states/eV/atom.

a = 4.3856 Å, b = 4.3856 Å, c = 4.3856 Å
α = 90.00°, β = 90.00°, γ = 90.00°
Space group Pm-3m (No. 221)
Inequivalent atoms, fractional coordinates:
Ta  0.0000  0.0000  0.5000 x3
Ti  0.5000  0.5000  0.5000 x1
B  0.0000  0.0000  0.0000 x1

=====

2.
This record from Alexandria via LeMat-Bulk describes crystalline TlPRu at its relaxed geometry. The functional is PBE.

The formation energy is 11.3 kcal/mol of atoms. Its density of states at the Fermi level is 0.98 states/eV/atom.

a = 6.1743 Å, b = 6.1743 Å, c = 6.1743 Å
α = 90.00°, β = 90.00°, γ = 90.00°
Space group F-43m (No. 216)
Inequivalent atoms, fractional coordinates:
Tl  0.0000  0.0000  0.0000 x4
P  0.0000  0.0000  0.5000 x4
Ru  0.2500  0.2500  0.7500 x4

=====

3.
This record from Alexandria via LeMat-Bulk describes crystalline NbInAs2Se at its relaxed geometry. The functional is PBE.

Its density of states at the Fermi level is 0.88 states/eV/atom. The value obtained for the uncorrected formation energy is 0.120 eV/atom.

a = 5.3802 Å, b = 5.3802 Å, c = 5.2431 Å
α = 90.00°, β = 90.00°, γ = 90.00°
Space group P4/mmm (No. 123)
Inequivalent atoms, fractional coordinates:
Nb  0.0000  0.0000  0.0000 x1
In  0.5000  0.5000  0.5000 x1
As  0.0000  0.5000  0.0000 x2
Se  0.0000  0.0000  0.5000 x1

=====

4.
This record from Alexandria via LeMat-Bulk describes crystalline Dy3Th at its relaxed geometry. The functional is PBE.

The formation energy is 1.2 kcal/mol of atoms. Its density of states at the Fermi level is 1.68 states/eV/atom.

a = 5.7369 Å, b = 7.1966 Å, c = 6.2275 Å
α = 90.00°, β = 90.00°, γ = 90.00°
Space group Pmmn (No. 59, origin choice 2)
Inequivalent atoms, fractional coordinates:
Dy  0.2500  0.0009  0.1655 x4
Dy  0.2500  0.7500  0.6589 x2
Th  0.2500  0.2500  0.6729 x2

=====

5.
This record from Alexandria via LeMat-Bulk describes crystalline NbSi4Tc at its relaxed geometry. The functional is PBE.

Its density of states at the Fermi level is 0.18 states/eV/atom. The value obtained for the uncorrected formation energy is -0.502 eV/atom.

a = 8.5752 Å, b = 3.2233 Å, c = 6.5014 Å
α = 90.00°, β = 112.23°, γ = 90.00°
Space group C2/m (No. 12)
Inequivalent atoms, fractional coordinates:
Nb  0.0000  0.0000  0.0000 x2
Si  0.1661  0.5000  0.3349 x4
Si  0.1661  0.5000  0.8289 x4
Tc  0.0000  0.0000  0.5000 x2

=====

6.
This record from Alexandria via LeMat-Bulk describes crystalline CaTb2Er3Se6 at its relaxed geometry. The functional is PBE.

Its density of states at the Fermi level is 0.43 states/eV/atom. The value obtained for the uncorrected formation energy is -1.775 eV/atom.

a = 17.7926 Å, b = 4.0641 Å, c = 8.1963 Å
α = 90.00°, β = 103.48°, γ = 90.00°
Space group C2/m (No. 12)
Inequivalent atoms, fractional coordinates:
Ca  0.0000  0.0000  0.0000 x2
Tb  0.1713  0.5000  0.3423 x4
Er  0.0000  0.0000  0.5000 x2
Er  0.1679  0.5000  0.8275 x4
Se  0.0001  0.5000  0.2535 x4
Se  0.1630  0.0000  0.5858 x4
Se  0.1673  0.0000  0.0791 x4

=====

7.
This record from Alexandria via LeMat-Bulk describes crystalline Al2CrB at its relaxed geometry. The functional is PBE.

The formation energy is 7.2 kcal/mol of atoms. Its density of states at the Fermi level is 0.46 states/eV/atom.

a = 7.2183 Å, b = 7.2183 Å, c = 4.3608 Å
α = 90.00°, β = 90.00°, γ = 90.00°
Space group I-42d (No. 122)
Inequivalent atoms, fractional coordinates:
Al  0.1464  0.2500  0.1250 x8
Cr  0.0000  0.0000  0.5000 x4
B  0.0000  0.0000  0.0000 x4

=====

8.
This record from Alexandria via LeMat-Bulk describes crystalline TbMgAlIn at its relaxed geometry. The functional is PBE.

The formation energy is -8.2 kcal/mol of atoms. Its density of states at the Fermi level is 0.50 states/eV/atom.

a = 4.4379 Å, b = 4.4666 Å, c = 4.5799 Å
α = 90.00°, β = 90.00°, γ = 90.00°
Space group Pmmm (No. 47)
Inequivalent atoms, fractional coordinates:
Tb  0.0000  0.0000  0.0000 x1
Mg  0.0000  0.5000  0.5000 x1
Al  0.5000  0.5000  0.0000 x1
In  0.5000  0.0000  0.5000 x1

=====

9.
This record from Alexandria via LeMat-Bulk describes crystalline Ta5Mn4Mo at its relaxed geometry. The functional is PBE.

The formation energy is -4.8 kcal/mol of atoms. Its density of states at the Fermi level is 0.66 states/eV/atom.

a = 3.0976 Å, b = 3.0976 Å, c = 15.5477 Å
α = 90.00°, β = 90.00°, γ = 90.00°
Space group P4/mmm (No. 123)
Inequivalent atoms, fractional coordinates:
Ta  0.0000  0.0000  0.0000 x1
Ta  0.0000  0.0000  0.1961 x2
Ta  0.0000  0.0000  0.3928 x2
Mn  0.5000  0.5000  0.0978 x2
Mn  0.5000  0.5000  0.2934 x2
Mo  0.5000  0.5000  0.5000 x1

=====

10.
This record from Alexandria via LeMat-Bulk describes crystalline KLa2Ag at its relaxed geometry. The functional is PBE.

The formation energy is 8.6 kcal/mol of atoms. Its density of states at the Fermi level is 1.12 states/eV/atom.

a = 6.7347 Å, b = 11.5564 Å, c = 3.5079 Å
α = 90.00°, β = 90.00°, γ = 90.00°
Space group Cmmm (No. 65)
Inequivalent atoms, fractional coordinates:
K  0.0000  0.0000  0.0000 x2
La  0.2500  0.2500  0.5000 x4
Ag  0.0000  0.5000  0.0000 x2

=====

11.
This record from Alexandria via LeMat-Bulk describes crystalline LaMg11Cu at its relaxed geometry. The functional is PBE.

The formation energy is -1.5 kcal/mol of atoms. Its density of states at the Fermi level is 0.48 states/eV/atom.

a = 5.6965 Å, b = 14.4977 Å, c = 7.6835 Å
α = 90.00°, β = 109.95°, γ = 90.00°
Space group C2/m (No. 12)
Inequivalent atoms, fractional coordinates:
La  0.0000  0.0000  0.0000 x2
Mg  0.0000  0.0000  0.5000 x2
Mg  0.0968  0.3962  0.2224 x8
Mg  0.1810  0.1725  0.3588 x8
Mg  0.2500  0.2500  0.0000 x4
Cu  0.0000  0.5000  0.5000 x2

=====

12.
This record from Alexandria via LeMat-Bulk describes crystalline Zn2CuSb at its relaxed geometry. The functional is PBE.

Its density of states at the Fermi level is 0.24 states/eV/atom. The value obtained for the uncorrected formation energy is 0.140 eV/atom.

a = 3.7687 Å, b = 3.7687 Å, c = 5.1047 Å
α = 90.00°, β = 90.00°, γ = 90.00°
Space group P4/mmm (No. 123)
Inequivalent atoms, fractional coordinates:
Zn  0.0000  0.0000  0.2427 x2
Cu  0.5000  0.5000  0.0000 x1
Sb  0.5000  0.5000  0.5000 x1

=====

Which formula does entry 2 have?
TlPRu